Ca2Mn2V: optimized geometry, PBE.

Cell lengths 4.134, 4.134, 7.342 Å; angles 73.65, 73.65, 90.00 degrees
Atoms (fractional coordinates):
Ca (0.750, 0.250, 0.500)
Ca (0.250, 0.750, 0.500)
Mn (0.414, 0.414, 0.172)
Mn (0.586, 0.586, 0.828)
V (0.000, 0.000, 0.000)

Values from the calculation:
Total moment in μB/f.u.: 3.4
Formation energy from the elements in eV per formula unit: 5.2
Energy relative to the lowest polymorph listed for this composition in meV/atom: 549
Crystal system: tetragonal

=====

TcIr2Au: optimized geometry, PBE.

Cell lengths 4.832, 4.832, 4.829 Å; angles 80.89, 80.89, 33.26 degrees
Atoms (fractional coordinates):
Au (0.250, 0.250, 0.250)
Ir (0.006, 0.006, 0.985)
Ir (0.494, 0.494, 0.515)
Tc (0.750, 0.750, 0.750)

Values from the calculation:
Total moment in μB/f.u.: 0.0
Formation energy from the elements in eV per formula unit: 0.7
Energy relative to the lowest polymorph listed for this composition in meV/atom: 143
Crystal system: monoclinic

=====

Tm3Ga3Pd2: optimized geometry, PBE.

Cell lengths 5.524, 8.094, 14.723 Å; angles 90.00, 90.00, 90.00 degrees
Atoms (fractional coordinates):
Tm (0.123, 0.460, 0.388)
Tm (0.623, 0.040, 0.612)
Tm (0.877, 0.540, 0.888)
Tm (0.377, 0.960, 0.112)
Tm (0.877, 0.540, 0.612)
Tm (0.377, 0.960, 0.388)
Tm (0.123, 0.460, 0.112)
Tm (0.623, 0.040, 0.888)
Tm (0.629, 0.314, 0.250)
Tm (0.129, 0.186, 0.750)
Tm (0.371, 0.686, 0.750)
Tm (0.871, 0.814, 0.250)
Ga (0.131, 0.173, 0.250)
Ga (0.631, 0.327, 0.750)
Ga (0.869, 0.827, 0.750)
Ga (0.369, 0.673, 0.250)
Ga (0.608, 0.305, 0.464)
Ga (0.108, 0.195, 0.536)
Ga (0.392, 0.695, 0.964)
Ga (0.892, 0.805, 0.036)
Ga (0.392, 0.695, 0.536)
Ga (0.892, 0.805, 0.464)
Ga (0.608, 0.305, 0.036)
Ga (0.108, 0.195, 0.964)
Pd (0.874, 0.089, 0.392)
Pd (0.374, 0.411, 0.608)
Pd (0.126, 0.911, 0.892)
Pd (0.626, 0.589, 0.108)
Pd (0.126, 0.911, 0.608)
Pd (0.626, 0.589, 0.392)
Pd (0.874, 0.089, 0.108)
Pd (0.374, 0.411, 0.892)

Values from the calculation:
Total moment in μB/f.u.: 0.0
Formation energy from the elements in eV per formula unit: -6.1
Crystal system: orthorhombic

=====

LiBeC2: optimized geometry, PBE.

Cell lengths 3.435, 3.435, 6.428 Å; angles 74.50, 74.50, 90.00 degrees
Atoms (fractional coordinates):
Be (0.000, 0.000, 0.000)
Be (0.750, 0.250, 0.500)
C (0.875, 0.125, 0.250)
C (0.875, 0.625, 0.250)
C (0.375, 0.125, 0.750)
C (0.875, 0.125, 0.750)
Li (0.500, 0.500, 0.000)
Li (0.250, 0.750, 0.500)

Values from the calculation:
Total moment in μB/f.u.: 0.0
Formation energy from the elements in eV per formula unit: 3.6
Crystal system: tetragonal